Computed, not measured: a relaxed structure of Ac7BiSe5 at the PBE level of DFT.

Cell: 7.6841 7.6841 26.8113 Å, 90.00 90.00 145.86°
Sites, in units of the cell vectors:
Ac: 0.0222 0.9778 0.5000
Ac: 0.1361 0.8639 0.2139
Ac: 0.1366 0.8634 0.7863
Ac: 0.3172 0.6828 0.4258
Ac: 0.3179 0.6821 0.5745
Ac: 0.4041 0.5959 0.1381
Ac: 0.4048 0.5952 0.8619
Ac: 0.5952 0.4048 0.3619
Ac: 0.5959 0.4041 0.6381
Ac: 0.6821 0.3179 0.0745
Ac: 0.6828 0.3172 0.9258
Ac: 0.8634 0.1366 0.2863
Ac: 0.8639 0.1361 0.7139
Ac: 0.9778 0.0222 0.0000
Bi: 0.3023 0.6977 0.0004
Bi: 0.6977 0.3023 0.5004
Se: 0.0444 0.9556 0.1100
Se: 0.0451 0.9549 0.8903
Se: 0.2268 0.7732 0.3197
Se: 0.2273 0.7727 0.6805
Se: 0.4997 0.5003 0.2501
Se: 0.5003 0.4997 0.7501
Se: 0.7727 0.2273 0.1805
Se: 0.7732 0.2268 0.8197
Se: 0.9549 0.0451 0.3903
Se: 0.9556 0.0444 0.6100

Properties
DFT total energy, eV/atom: -5.423
SG: No. 36



Computed, not measured: a relaxed structure of Sm3DySb3 at the PBE level of DFT.

Cell: 9.3463 9.3463 9.3463 Å, 90.00 90.00 90.00°
Sites, in units of the cell vectors:
Sm: 0.0689 0.4311 0.5689
Sm: 0.1776 0.8224 0.3224
Sm: 0.1788 0.1788 0.1788
Sm: 0.3212 0.8212 0.6788
Sm: 0.3224 0.1776 0.8224
Sm: 0.4311 0.5689 0.0689
Sm: 0.5689 0.0689 0.4311
Sm: 0.6776 0.6776 0.6776
Sm: 0.6788 0.3212 0.8212
Sm: 0.8212 0.6788 0.3212
Sm: 0.8224 0.3224 0.1776
Sm: 0.9311 0.9311 0.9311
Dy: 0.0721 0.5721 0.9279
Dy: 0.4279 0.4279 0.4279
Dy: 0.5721 0.9279 0.0721
Dy: 0.9279 0.0721 0.5721
Sb: 0.0011 0.2536 0.8730
Sb: 0.1270 0.5011 0.2464
Sb: 0.2464 0.1270 0.5011
Sb: 0.2536 0.8730 0.0011
Sb: 0.3730 0.4989 0.7464
Sb: 0.4989 0.7464 0.3730
Sb: 0.5011 0.2464 0.1270
Sb: 0.6270 0.9989 0.7536
Sb: 0.7464 0.3730 0.4989
Sb: 0.7536 0.6270 0.9989
Sb: 0.8730 0.0011 0.2536
Sb: 0.9989 0.7536 0.6270

Properties
Excess energy over the best structure of this formula in the dataset, eV per atom: 0.000
SG: No. 198



Computed, not measured: a relaxed structure of Nd3Dy6Pu at the PBE level of DFT.

Cell: 6.8730 6.8730 6.8108 Å, 90.49 90.49 95.74°
Sites, in units of the cell vectors:
Nd: 0.0000 0.0000 0.0000
Nd: 0.2131 0.3890 0.2012
Nd: 0.6110 0.7869 0.7988
Dy: 0.1075 0.5678 0.7521
Dy: 0.2968 0.1008 0.6633
Dy: 0.4322 0.8925 0.2479
Dy: 0.6688 0.3312 0.0000
Dy: 0.8264 0.1736 0.5000
Dy: 0.8992 0.7032 0.3367
Pu: 0.5236 0.4764 0.5000

Properties
DFT total energy, eV/atom: -5.458
SG: No. 5



Computed, not measured: a relaxed structure of HAuS2Cl at the PBE level of DFT.

Cell: 4.8920 4.8920 5.1970 Å, 90.00 90.00 90.00°
Sites, in units of the cell vectors:
H: 0.0000 0.0000 0.0000
Au: 0.5000 0.5000 0.5000
S: 0.0000 0.5000 0.5000
S: 0.5000 0.0000 0.5000
Cl: 0.5000 0.5000 0.0000

Properties
Excess energy over the best structure of this formula in the dataset, eV per atom: 0.471
SG: No. 123



- What is the formula in the fourth record?
  HAuS2Cl